This record from Alexandria via LeMat-Bulk describes crystalline P2OsPt at its relaxed geometry. The functional is GGA-PBE.

## Properties
The offset from the most stable computed form is 0.748 eV/f.u. For the calculated density, the calculation gives 12.26 g cm⁻³.

Structure (extended XYZ):
```
4
Lattice="7.443 -0.014 -0.009 6.798 3.030 -0.009 6.798 1.440 2.667" Properties=species:S:1:pos:R:3 pbc="T T T"
Os 15.504 3.284 1.953
P 0.062 0.013 0.008
P 5.195 1.100 0.654
Pt 10.796 2.286 1.360
```


This record from Alexandria via LeMat-Bulk describes crystalline Na12Se3F5 at its relaxed geometry. The functional is GGA-PBE.

## Properties
For the calculated density, the calculation gives 2.32 g cm⁻³. The calculation puts the energy relative to the elements, uncorrected at -1.747 eV per atom.

Structure (extended XYZ):
```
80
Lattice="13.122 0.000 0.000 -4.374 12.372 0.000 -4.374 -6.186 10.714" Properties=species:S:1:pos:R:3 pbc="T T T"
Na 5.465 1.795 1.324
Na 7.161 -0.950 2.216
Na -4.245 4.822 10.429
Na 5.465 9.528 3.141
Na -1.091 -3.342 7.574
Na 9.373 6.270 1.931
Na -2.787 7.136 8.498
Na 0.129 4.022 4.319
Na 7.652 -4.391 9.390
Na -3.278 10.577 1.324
Na -0.625 7.900 0.893
Na -3.774 5.487 5.642
Na 6.690 11.008 0.285
Na 1.587 4.537 7.288
Na -0.625 4.556 1.038
Na -4.503 8.844 4.033
Na 8.877 -2.658 6.681
Na 5.470 -1.049 6.250
Na -1.096 7.235 4.464
Na -2.316 -4.822 10.429
Na 5.961 6.884 5.642
Na 4.245 2.164 6.396
Na 1.562 -1.630 9.676
Na 0.600 7.834 7.288
Na 1.562 1.714 9.821
Na -1.587 -0.698 5.072
Na 8.148 0.698 5.072
Na -4.999 -0.084 8.783
Na 2.812 7.816 1.038
Na 2.316 -2.164 6.396
Na -1.091 4.391 9.390
Na 2.787 1.648 3.426
Na 5.936 6.102 1.931
Na 4.999 1.630 9.676
Na 2.812 4.471 0.893
Na 1.091 1.049 6.250
Na -1.562 0.084 8.783
Na 3.774 -1.648 3.426
Na -0.600 0.950 2.216
Na 9.844 2.844 3.141
Na 2.058 8.350 4.319
Na -2.316 2.658 6.681
Na 8.619 1.364 0.285
Na 4.999 -1.714 9.821
Na 6.690 3.528 4.033
Na 4.974 5.236 8.498
Na 3.283 5.137 4.464
Na -5.470 3.342 7.574
F 0.000 0.000 0.000
F -4.374 3.093 5.357
F 4.374 -3.093 5.357
F 2.187 3.093 5.357
F 3.281 9.279 2.679
F 3.281 2.320 1.339
F 5.468 5.413 4.018
F 1.094 -3.093 8.036
F 7.655 -0.773 6.696
F -1.094 0.773 6.696
F -2.187 6.186 0.000
F -2.187 -3.093 5.357
F 5.468 3.093 8.036
F 1.094 3.866 9.375
F 6.561 0.000 0.000
F -1.094 3.093 2.679
F -1.094 10.052 1.339
F 5.468 -3.866 9.375
F 4.374 6.186 0.000
F -3.281 6.959 4.018
Se -3.281 -2.320 9.375
Se -1.094 5.413 6.696
Se 1.094 -0.773 4.018
Se 3.281 6.959 6.696
Se -5.468 6.186 8.036
Se 7.655 8.505 1.339
Se 3.281 0.000 8.036
Se 9.842 0.000 2.679
Se -3.281 2.320 9.375
Se 1.094 6.186 2.679
Se 7.655 3.866 1.339
Se 5.468 0.773 4.018
```


This record from Alexandria via LeMat-Bulk describes crystalline CePrGa4 at its relaxed geometry. The functional is GGA-PBE.

## Properties
The offset from the most stable computed form is 0.000 eV/f.u. For the calculated density, the calculation gives 6.85 g cm⁻³.

Structure (extended XYZ):
```
6
Lattice="-2.871 0.802 3.078 3.981 -1.193 1.041 2.420 8.184 0.125" Properties=species:S:1:pos:R:3 pbc="T T T"
Ga 2.285 1.458 1.751
Ga 3.530 5.670 1.815
Ga 1.246 6.335 2.494
Ga 0.001 2.123 2.430
Pr 1.210 4.092 0.063
Ce 0.000 0.000 0.000
```